GePd6Pb | PBE | relaxed

```
16
Lattice="7.662 0.000 0.000 0.000 5.551 0.000 -2.871 0.000 6.885" Properties=species:S:1:pos:R:3 pbc="T T T"
Ge 0.000 0.000 0.000
Ge 3.831 2.775 0.000
Pd -1.476 2.775 6.575
Pd 0.506 1.413 1.981
Pd 0.506 4.137 1.981
Pd 0.454 1.362 4.905
Pd 0.454 4.189 4.905
Pd 2.436 0.000 0.310
Pd 2.355 0.000 6.575
Pd 4.337 1.362 1.981
Pd 4.337 4.189 1.981
Pd 4.285 1.413 4.905
Pd 4.285 4.137 4.905
Pd 6.267 2.775 0.310
Pb -1.436 2.775 3.443
Pb 2.395 0.000 3.443
```

## Properties
Its formation energy is -178 meV per atom. As for the total energy: -5.114 eV/atom.